This record from the Alexandria database describes a relaxed structure of Tb3Ni2Pb4. The functional is PBE.

Results
**ρ**: 10.64 g/cm³
**Total magnetization**: 0.00 Bohr magnetons per cell
**Formation energy from the elements**: -0.38 eV/atom
**Symmetry**: No. 12

```
Tb3Ni2Pb4
1.0
4.3237 0.0000 1.1534
1.6714 5.4782 2.4153
-0.2388 0.7325 9.5761
Pb Tb Ni
4 3 2
direct
0.6989 0.6970 0.9053 Pb
0.0810 0.2123 0.6257 Pb
0.9190 0.7877 0.3743 Pb
0.3011 0.3030 0.0947 Pb
0.6329 0.4189 0.3152 Tb
0.3671 0.5811 0.6848 Tb
0.0000 0.0000 0.0000 Tb
0.2878 0.0121 0.4123 Ni
0.7122 0.9879 0.5877 Ni
```